Entry 1:
! KSrPb2 PBE relaxed; values from VASP
&SYSTEM
  ibrav = 0, nat = 4, ntyp = 3
/
ATOMIC_SPECIES
K 39.10 K.upf
Sr 87.62 Sr.upf
Pb 207.20 Pb.upf
CELL_PARAMETERS angstrom
-0.289 4.468 -2.516
-2.962 1.943 3.791
4.250 1.664 2.468
ATOMIC_POSITIONS crystal
K 0.500 0.000 0.000
Sr 0.500 0.500 0.500
Pb 0.000 0.500 0.000
Pb 0.000 0.000 0.500
! - relative energy among the computed polymorphs (meV per atom) = 57
! - formation energy (meV per atom) = -255

Entry 2:
! SmSiRhC PBE relaxed; values from VASP
&SYSTEM
  ibrav = 0, nat = 8, ntyp = 4
/
ATOMIC_SPECIES
Rh 102.91 Rh.upf
Si 28.09 Si.upf
C 12.01 C.upf
Sm 150.36 Sm.upf
CELL_PARAMETERS angstrom
-2.420 -0.102 3.105
-0.440 -3.886 -0.470
6.646 -1.374 5.135
ATOMIC_POSITIONS crystal
Rh 0.500 0.500 0.500
Rh 0.000 0.000 0.500
Si 0.000 0.500 0.346
Si 0.500 0.000 0.654
C 0.000 0.500 0.134
C 0.500 0.000 0.866
Sm 0.000 0.500 0.850
Sm 0.500 0.000 0.150
! - ΔE_f (raw) (kJ/mol of formula units) = -253.8

Entry 3:
! CaErMgCu PBE relaxed; values from VASP
&SYSTEM
  ibrav = 0, nat = 4, ntyp = 4
/
ATOMIC_SPECIES
Er 167.26 Er.upf
Cu 63.55 Cu.upf
Ca 40.08 Ca.upf
Mg 24.30 Mg.upf
CELL_PARAMETERS angstrom
-3.777 -0.378 -3.521
-1.446 -4.651 -1.756
-4.602 -1.957 1.340
ATOMIC_POSITIONS crystal
Er 0.000 0.000 0.000
Cu 0.250 0.250 0.250
Ca 0.500 0.500 0.500
Mg 0.750 0.750 0.750
! - formation energy (meV per atom) = -3

Entry 4:
! RbS2O7 PBE relaxed; values from VASP
&SYSTEM
  ibrav = 0, nat = 10, ntyp = 3
/
ATOMIC_SPECIES
O 16.00 O.upf
S 32.06 S.upf
Rb 85.47 Rb.upf
CELL_PARAMETERS angstrom
-2.856 2.225 0.323
-3.355 -4.526 1.513
3.402 3.420 6.532
ATOMIC_POSITIONS crystal
O 0.500 0.875 0.283
O 0.500 0.125 0.717
O 0.500 0.592 0.717
O 0.000 0.607 0.213
O 0.500 0.408 0.283
O 0.000 0.393 0.787
O 0.500 0.500 0.000
S 0.500 0.607 0.215
S 0.500 0.393 0.785
Rb 0.000 0.000 0.000
! - ΔE_f (raw) (kJ/mol of formula units) = -663.3

Entry 5:
! Ce2Pr3ErTe6 PBE relaxed; values from VASP
&SYSTEM
  ibrav = 0, nat = 12, ntyp = 4
/
ATOMIC_SPECIES
Pr 140.91 Pr.upf
Te 127.60 Te.upf
Er 167.26 Er.upf
Ce 140.12 Ce.upf
CELL_PARAMETERS angstrom
4.443 0.000 0.000
0.000 9.050 0.270
-2.222 -2.659 9.430
ATOMIC_POSITIONS crystal
Pr 0.500 0.500 0.000
Pr 0.169 0.835 0.339
Pr 0.831 0.165 0.661
Te 0.667 0.583 0.334
Te 0.333 0.417 0.666
Te 0.661 0.084 0.322
Te 0.000 0.762 0.000
Te 0.339 0.916 0.678
Te 0.000 0.238 0.000
Er 0.500 0.000 0.000
Ce 0.168 0.337 0.335
Ce 0.832 0.663 0.665
! - ΔE_f (raw) (kJ/mol of formula units) = -1602.2

Entry 6:
! Er3TaO7 PBE relaxed; values from VASP
&SYSTEM
  ibrav = 0, nat = 22, ntyp = 3
/
ATOMIC_SPECIES
O 16.00 O.upf
Er 167.26 Er.upf
Ta 180.95 Ta.upf
CELL_PARAMETERS angstrom
-0.211 4.233 4.806
-5.766 -0.550 -2.741
-1.737 -5.485 4.755
ATOMIC_POSITIONS crystal
O 0.564 0.824 0.464
O 0.888 0.153 0.250
O 0.582 0.582 0.750
O 0.436 0.176 0.536
O 0.418 0.418 0.250
O 0.824 0.564 0.464
O 0.564 0.824 0.036
O 0.112 0.847 0.750
O 0.153 0.888 0.250
O 0.176 0.436 0.536
O 0.436 0.176 0.964
O 0.176 0.436 0.964
O 0.824 0.564 0.036
O 0.847 0.112 0.750
Er 0.000 0.000 0.000
Er 0.055 0.515 0.250
Er 0.000 0.000 0.500
Er 0.515 0.055 0.250
Er 0.945 0.485 0.750
Er 0.485 0.945 0.750
Ta 0.500 0.500 0.500
Ta 0.500 0.500 0.000
! - ΔE_f (raw) (kJ/mol of formula units) = -3619.6
! - relative energy among the computed polymorphs (meV per atom) = 35

Entry 7:
! Pu2AsSe PBE relaxed; values from VASP
&SYSTEM
  ibrav = 0, nat = 4, ntyp = 3
/
ATOMIC_SPECIES
Pu 244.00 Pu.upf
Se 78.96 Se.upf
As 74.92 As.upf
CELL_PARAMETERS angstrom
4.079 0.000 0.000
2.040 3.533 0.000
2.040 1.178 7.164
ATOMIC_POSITIONS crystal
Pu 0.254 0.254 0.238
Pu 0.080 0.080 0.761
Se 0.498 0.498 0.507
As 0.669 0.669 0.994
! - ΔE_f (raw) (kJ/mol of formula units) = -466.4
! - relative energy among the computed polymorphs (meV per atom) = 99

Entry 8:
! CrNi PBE relaxed; values from VASP
&SYSTEM
  ibrav = 0, nat = 16, ntyp = 2
/
ATOMIC_SPECIES
Cr 52.00 Cr.upf
Ni 58.69 Ni.upf
CELL_PARAMETERS angstrom
6.964 0.000 0.000
0.000 6.964 0.000
0.000 0.000 6.964
ATOMIC_POSITIONS crystal
Cr 0.621 0.621 0.621
Cr 0.879 0.879 0.121
Cr 0.121 0.879 0.879
Cr 0.879 0.121 0.879
Cr 0.379 0.621 0.379
Cr 0.621 0.379 0.379
Cr 0.121 0.121 0.121
Cr 0.379 0.379 0.621
Ni 0.695 0.305 0.695
Ni 0.305 0.695 0.695
Ni 0.805 0.805 0.805
Ni 0.305 0.305 0.305
Ni 0.805 0.195 0.195
Ni 0.195 0.195 0.805
Ni 0.195 0.805 0.195
Ni 0.695 0.695 0.305
! - formation energy (meV per atom) = 1561

Entry 9:
! FeSeCl2 PBE relaxed; values from VASP
&SYSTEM
  ibrav = 0, nat = 4, ntyp = 3
/
ATOMIC_SPECIES
Se 78.96 Se.upf
Fe 55.84 Fe.upf
Cl 35.45 Cl.upf
CELL_PARAMETERS angstrom
3.141 0.000 0.000
0.000 5.937 0.000
0.000 0.000 4.264
ATOMIC_POSITIONS crystal
Se 0.000 0.500 0.500
Fe 0.500 0.000 0.500
Cl 0.000 0.000 0.000
Cl 0.500 0.500 0.000
! - ΔE_f (raw) (kJ/mol of formula units) = 117.1
! - relative energy among the computed polymorphs (meV per atom) = 688

Entry 10:
! UZnSi2 PBE relaxed; values from VASP
&SYSTEM
  ibrav = 0, nat = 8, ntyp = 3
/
ATOMIC_SPECIES
U 238.03 U.upf
Si 28.09 Si.upf
Zn 65.41 Zn.upf
CELL_PARAMETERS angstrom
3.937 0.000 -0.800
-0.163 3.933 -0.800
-0.216 -0.225 9.022
ATOMIC_POSITIONS crystal
U 0.887 0.887 0.773
U 0.113 0.113 0.227
Si 0.641 0.641 0.281
Si 0.500 0.000 0.000
Si 0.000 0.500 0.000
Si 0.359 0.359 0.719
Zn 0.750 0.250 0.500
Zn 0.250 0.750 0.500
! - ΔE_f (raw) (kJ/mol of formula units) = -70.0